VASP calculation (PBEsol) on an optimized crystal structure of Mg3P2O8. Values from VASP.

Energy = -7.115 eV per atom
Raw formation energy = -2598 meV per atom
DOS at the Fermi energy = 0.00 states/eV/f.u.

Structure (Quantum ESPRESSO input):
```
&SYSTEM
  ibrav = 0, nat = 26, ntyp = 3
/
ATOMIC_SPECIES
O 16.00 O.upf
P 30.97 P.upf
Mg 24.30 Mg.upf
CELL_PARAMETERS angstrom
5.562 0.018 0.000
-1.684 5.461 0.000
0.000 0.000 9.135
ATOMIC_POSITIONS crystal
O 0.768 0.225 0.969
O 0.232 0.275 0.469
O 0.991 0.501 0.240
O 0.232 0.775 0.031
O 0.528 0.870 0.733
O 0.991 0.001 0.260
O 0.744 0.648 0.958
O 0.472 0.630 0.233
P 0.774 0.932 0.642
O 0.009 0.999 0.740
O 0.744 0.148 0.542
Mg 0.354 0.600 0.859
Mg 0.646 0.900 0.359
Mg 0.000 0.000 0.000
O 0.768 0.725 0.531
P 0.226 0.568 0.142
Mg 0.354 0.100 0.641
O 0.528 0.370 0.767
O 0.256 0.352 0.042
O 0.472 0.130 0.267
P 0.226 0.068 0.358
P 0.774 0.432 0.858
Mg 0.646 0.400 0.141
Mg 0.000 0.500 0.500
O 0.009 0.499 0.760
O 0.256 0.852 0.458
```



VASP calculation (PBEsol) on an optimized crystal structure of CaMoPb2. Values from VASP.

Energy = -5.047 eV per atom
DOS at the Fermi energy = 3.49 states/eV/f.u.

Structure (Quantum ESPRESSO input):
```
&SYSTEM
  ibrav = 0, nat = 4, ntyp = 3
/
ATOMIC_SPECIES
Pb 207.20 Pb.upf
Ca 40.08 Ca.upf
Mo 95.94 Mo.upf
CELL_PARAMETERS angstrom
3.363 0.000 0.000
0.000 5.322 0.005
0.000 -1.394 5.136
ATOMIC_POSITIONS crystal
Pb 0.000 0.000 0.500
Ca 0.500 0.000 0.000
Mo 0.500 0.500 0.500
Pb 0.000 0.500 0.000
```



Q: Which value of DOS at the Fermi energy does entry 2 give?
A: 3.49 states/eV/f.u.